BeAlNi3 after structural relaxation, computed with PBE.

Summary:
size of the total moment: 0.0000 μB/atom
E above lowest polymorph: 4.63 eV per formula unit
raw total energy: -20.43 eV/cell
space group: No. 221
E_form: 0.876 eV per atom

Cell lengths 4.1990, 4.1990, 4.1990 Å; angles 90.00, 90.00, 90.00 degrees
Sites, in units of the cell vectors:
Be 0.0000 0.0000 0.0000
Al 0.5000 0.5000 0.5000
Ni 0.0000 0.5000 0.5000
Ni 0.5000 0.0000 0.5000
Ni 0.5000 0.5000 0.0000